A relaxed PmEuSi crystal. Source: Alexandria, functional PBE.

Calculated values
* distance to the lowest polymorph of the same formula: 0.0 meV/atom
* raw formation energy: -377 meV/atom

Cell and atoms, written as POSCAR:
```
PmEuSi
1.0
0.0000 3.5824 3.5824
3.5824 0.0000 3.5824
3.5824 3.5824 0.0000
Pm Eu Si
1 1 1
direct
0.0000 0.0000 0.0000
0.5000 0.5000 0.5000
0.2500 0.2500 0.2500
```

---

A relaxed Tl2InC2O6 crystal. Source: Alexandria, functional PBE.

Calculated values
* raw formation energy: -1151 meV/atom

Cell and atoms, written as POSCAR:
```
Tl2InC2O6
1.0
2.6975 1.5574 7.1958
-2.6975 1.5574 7.1958
0.0000 -3.1148 7.1958
Tl In C O
2 1 2 6
direct
0.2121 0.2121 0.2121
0.7879 0.7879 0.7879
0.0000 0.0000 0.0000
0.4043 0.4043 0.4043
0.5957 0.5957 0.5957
0.2659 0.2659 0.6849
0.2659 0.6849 0.2659
0.3151 0.7341 0.7341
0.6849 0.2659 0.2659
0.7341 0.3151 0.7341
0.7341 0.7341 0.3151
```

---

A relaxed Li2LaPt9 crystal. Source: Alexandria, functional PBE.

Calculated values
* E_form: -6.9 eV per formula unit

Cell and atoms, written as POSCAR:
```
Li2LaPt9
1.0
2.6825 1.5487 8.7405
-2.6825 1.5487 8.7405
0.0000 -3.0974 8.7405
Li La Pt
2 1 9
direct
0.1471 0.1471 0.1471
0.8529 0.8529 0.8529
0.0000 0.0000 0.0000
0.0822 0.5882 0.5882
0.3330 0.3330 0.3330
0.4118 0.4118 0.9178
0.4118 0.9178 0.4118
0.5000 0.5000 0.5000
0.5882 0.0822 0.5882
0.5882 0.5882 0.0822
0.6670 0.6670 0.6670
0.9178 0.4118 0.4118
```

---

A relaxed CeY2Er crystal. Source: Alexandria, functional PBE.

Calculated values
* distance to the lowest polymorph of the same formula: 107.8 meV/atom
* E_form: 0.7 eV per formula unit

Cell and atoms, written as POSCAR:
```
CeY2Er
1.0
0.0000 4.0077 4.0077
4.0077 0.0000 4.0077
4.0077 4.0077 0.0000
Ce Y Er
1 2 1
direct
0.0000 0.0000 0.0000
0.2500 0.2500 0.2500
0.7500 0.7500 0.7500
0.5000 0.5000 0.5000
```

---

A relaxed Cs2TeF crystal. Source: Alexandria, functional PBE.

Calculated values
* distance to the lowest polymorph of the same formula: 317.2 meV/atom
* raw formation energy: -1274 meV/atom

Cell and atoms, written as POSCAR:
```
Cs2TeF
1.0
0.0000 4.3682 4.3682
4.3682 0.0000 4.3682
4.3682 4.3682 0.0000
Cs Te F
2 1 1
direct
0.2500 0.2500 0.2500
0.7500 0.7500 0.7500
0.0000 0.0000 0.0000
0.5000 0.5000 0.5000
```

---

A relaxed Cs2Ho2NpS6 crystal. Source: Alexandria, functional PBE.

Calculated values
* raw formation energy: -1716 meV/atom

Cell and atoms, written as POSCAR:
```
Cs2Ho2NpS6
1.0
3.4883 -6.0376 0.0000
3.4883 6.0376 0.0000
-2.3857 0.0000 8.2484
Cs Ho Np S
2 2 1 6
direct
0.1688 0.8312 0.0000
0.8312 0.1688 0.0000
0.3335 0.6665 0.5000
0.6665 0.3335 0.5000
0.0000 0.0000 0.5000
0.0591 0.3890 0.6760
0.2678 0.2678 0.3243
0.3890 0.0591 0.6760
0.6110 0.9409 0.3240
0.7322 0.7322 0.6757
0.9409 0.6110 0.3240
```

---

A relaxed PmNd3Y3 crystal. Source: Alexandria, functional PBE.

Calculated values
* distance to the lowest polymorph of the same formula: 88.2 meV/atom
* E_form: 1.7 eV per formula unit

Cell and atoms, written as POSCAR:
```
PmNd3Y3
1.0
5.3638 3.0968 2.4042
-5.3638 3.0968 2.4042
0.0000 -6.1936 2.4042
Pm Nd Y
1 3 3
direct
0.0000 0.0000 0.0000
0.5268 0.9653 0.9653
0.9653 0.5268 0.9653
0.9653 0.9653 0.5268
0.1089 0.4759 0.4759
0.4759 0.1089 0.4759
0.4759 0.4759 0.1089
```

---

A relaxed CaCoSCl2 crystal. Source: Alexandria, functional PBE.

Calculated values
* distance to the lowest polymorph of the same formula: 0.0 meV/atom
* raw formation energy: -963 meV/atom

Cell and atoms, written as POSCAR:
```
CaCoSCl2
1.0
4.7422 0.0000 0.0000
0.0000 4.7422 0.0000
0.0000 0.0000 4.5957
Ca Co S Cl
1 1 1 2
direct
0.0000 0.0000 0.0000
0.5000 0.5000 0.5000
0.5000 0.5000 0.0000
0.0000 0.5000 0.5000
0.5000 0.0000 0.5000
```

---

A relaxed SmSbPt crystal. Source: Alexandria, functional PBE.

Calculated values
* raw formation energy: -1086 meV/atom

Cell and atoms, written as POSCAR:
```
SmSbPt
1.0
4.5218 0.0000 0.0000
-2.2609 3.9160 0.0000
0.0000 0.0000 4.1219
Sm Sb Pt
1 1 1
direct
0.0000 0.0000 0.0000
0.6667 0.3333 0.5123
0.3333 0.6667 0.4366
```

---

A relaxed CoOs2Ru crystal. Source: Alexandria, functional PBE.

Calculated values
* distance to the lowest polymorph of the same formula: 391.5 meV/atom
* E_form: 2.1 eV per formula unit

Cell and atoms, written as POSCAR:
```
CoOs2Ru
1.0
1.3687 -2.2729 0.0000
1.3687 2.2729 0.0000
0.0000 0.0000 8.9767
Co Os Ru
1 2 1
direct
0.0000 0.0000 0.0000
0.5000 0.5000 0.2416
0.5000 0.5000 0.7584
0.0000 0.0000 0.5000
```

---

A relaxed Pr2NdSm4Ho crystal. Source: Alexandria, functional PBE.

Calculated values
* E_form: 3.1 eV per formula unit

Cell and atoms, written as POSCAR:
```
Pr2NdSm4Ho
1.0
6.9111 -6.7197 0.0000
6.9111 6.7197 0.0000
-3.4590 0.0000 6.0060
Pr Nd Sm Ho
4 2 8 2
direct
0.0000 0.0000 0.0000
0.0000 0.0000 0.5000
0.0000 0.5000 0.0000
0.5000 0.0000 0.5000
0.0000 0.5000 0.5000
0.5000 0.0000 0.0000
0.2545 0.2552 0.5240
0.2552 0.2545 0.0240
0.2563 0.7434 0.5002
0.2566 0.7437 0.9998
0.7434 0.2563 0.0002
0.7437 0.2566 0.4998
0.7448 0.7455 0.9760
0.7455 0.7448 0.4760
0.5000 0.5000 0.0000
0.5000 0.5000 0.5000
```

---

A relaxed LiMg4Sn2 crystal. Source: Alexandria, functional PBE.

Calculated values
* distance to the lowest polymorph of the same formula: 0.0 meV/atom
* E_form: -0.9 eV per formula unit

Cell and atoms, written as POSCAR:
```
LiMg4Sn2
1.0
8.6464 0.0000 0.0000
0.0000 8.6464 0.0000
0.0000 0.0000 4.7813
Li Mg Sn
2 8 4
direct
0.0000 0.0000 0.0000
0.5000 0.5000 0.5000
0.0691 0.3272 0.5000
0.1728 0.5691 0.0000
0.3272 0.0691 0.5000
0.4309 0.8272 0.0000
0.5691 0.1728 0.0000
0.6728 0.9309 0.5000
0.8272 0.4309 0.0000
0.9309 0.6728 0.5000
0.2398 0.2398 0.0000
0.2602 0.7398 0.5000
0.7398 0.2602 0.5000
0.7602 0.7602 0.0000
```

---

A relaxed TaHgBr5 crystal. Source: Alexandria, functional PBE.

Calculated values
* raw formation energy: -702 meV/atom

Cell and atoms, written as POSCAR:
```
TaHgBr5
1.0
7.3902 -5.4564 0.0000
7.3902 5.4564 0.0000
-6.6672 0.0000 7.3589
Ta Hg Br
2 2 10
direct
0.0000 0.0000 0.0000
0.0000 0.0000 0.5000
0.4281 0.5719 0.7500
0.5719 0.4281 0.2500
0.0911 0.9090 0.7500
0.2159 0.7817 0.4251
0.2183 0.7841 0.0749
0.2262 0.2285 0.2267
0.2285 0.2262 0.7267
0.7715 0.7738 0.2733
0.7738 0.7715 0.7733
0.7817 0.2159 0.9251
0.7841 0.2183 0.5749
0.9090 0.0911 0.2500
```

---

A relaxed NaMgPbAu crystal. Source: Alexandria, functional PBE.

Calculated values
* distance to the lowest polymorph of the same formula: 109.3 meV/atom
* E_form: -0.7 eV per formula unit

Cell and atoms, written as POSCAR:
```
NaMgPbAu
1.0
0.0000 3.5512 3.5512
3.5512 0.0000 3.5512
3.5512 3.5512 0.0000
Na Mg Pb Au
1 1 1 1
direct
0.0000 0.0000 0.0000
0.5000 0.5000 0.5000
0.2500 0.2500 0.2500
0.7500 0.7500 0.7500
```

---

A relaxed Zn4AgPd crystal. Source: Alexandria, functional PBE.

Calculated values
* distance to the lowest polymorph of the same formula: 3.7 meV/atom
* E_form: -1.2 eV per formula unit

Cell and atoms, written as POSCAR:
```
Zn4AgPd
1.0
4.4274 -2.2553 0.0000
4.4274 2.2553 0.0000
-0.0345 0.0000 4.5262
Zn Ag Pd
4 1 1
direct
0.1652 0.1652 0.0017
0.3299 0.3299 0.4996
0.6701 0.6701 0.5004
0.8348 0.8348 0.9983
0.5000 0.5000 0.0000
0.0000 0.0000 0.5000
```

---

A relaxed Hf2ScS2 crystal. Source: Alexandria, functional PBE.

Calculated values
* distance to the lowest polymorph of the same formula: 0.0 meV/atom
* raw formation energy: -1026 meV/atom

Cell and atoms, written as POSCAR:
```
Hf2ScS2
1.0
7.1722 0.0000 0.0000
0.0000 7.1722 0.0000
0.0000 0.0000 3.3363
Hf Sc S
4 2 4
direct
0.1568 0.3432 0.0000
0.3432 0.8432 0.0000
0.6568 0.1568 0.0000
0.8432 0.6568 0.0000
0.0000 0.0000 0.5000
0.5000 0.5000 0.5000
0.1461 0.6461 0.5000
0.3539 0.1461 0.5000
0.6461 0.8539 0.5000
0.8539 0.3539 0.5000
```

---

Listing total energy for the structures above in their given order: -21.58 -68.33 -70.00 -22.74 -11.81 -67.44 -36.71 -21.74 -18.14 -36.71 -34.73 -17.19 -25.43 -10.63 -14.36 -39.62 eV/f.u..
Listing theoretical density for the structures above in their given order: 5.9 5.9 14.5 6.3 4.1 4.9 5.9 3.2 10.6 16.1 7.1 3.2 4.4 8.4 8.7 9.0 g/cm3.